VASP calculation (PBE) on a relaxed K2TlPtO4 crystal.

a b c (Å): 5.7118 5.7118 5.7118
angles (deg): 103.79 112.38 112.38
Last column: magnetic moment on the atom in μB.
Sites, in units of the cell vectors:
O 0.5782 0.2658 0.3686  0.14
O 0.8972 0.6314 0.2096  0.14
O 0.1028 0.3124 0.7342  0.14
O 0.4218 0.7904 0.6876  0.14
Pt 0.0000 0.5000 0.5000  0.54
K 0.5000 0.7500 0.2500  0.00
K 0.0000 0.0000 0.0000  0.00
Tl 0.5000 0.2500 0.7500  -0.01

Values from the calculation:
- ΔE_f (raw) (eV/atom) = -0.886
- total magnetization (μB/cell) = 1.204
- space-group type = I-4